Entry 1:
A relaxed CsSn5Sb4 crystal. Source: Alexandria via LeMat-Bulk, functional PBE.

Lattice parameters (Å, degrees): 12.4213 13.2828 4.2998 90.00 90.00 90.00
Positions (direct):
Cs1 0.2500 0.2500 0.2467
Cs2 0.7500 0.7500 0.7533
Sn1 0.0821 0.5385 0.2524
Sn2 0.0821 0.9615 0.2524
Sn3 0.2500 0.7500 0.8711
Sn4 0.4179 0.5385 0.2524
Sn5 0.4179 0.9615 0.2524
Sn6 0.5821 0.0385 0.7476
Sn7 0.5821 0.4615 0.7476
Sn8 0.7500 0.2500 0.1289
Sn9 0.9179 0.0385 0.7476
Sn10 0.9179 0.4615 0.7476
Sb1 0.0611 0.7500 0.4111
Sb2 0.2500 0.5041 0.7563
Sb3 0.2500 0.9959 0.7563
Sb4 0.4389 0.7500 0.4111
Sb5 0.5611 0.2500 0.5889
Sb6 0.7500 0.0041 0.2437
Sb7 0.7500 0.4959 0.2437
Sb8 0.9389 0.2500 0.5889

- formation energy (no corrections) (eV per atom) = -0.030
- density of states at the Fermi level (states/eV/cell) = 8.9
- SG = Pmmn, No. 59
- energy (eV/cell) = -75.32

=====

Entry 2:
A relaxed CuReMo3 crystal. Source: Alexandria via LeMat-Bulk, functional PBE.

Lattice parameters (Å, degrees): 4.7258 4.7258 4.7258 90.00 90.00 90.00
Positions (direct):
Cu1 0.0000 0.0000 0.0000
Re1 0.5000 0.5000 0.5000
Mo1 0.0000 0.5000 0.5000
Mo2 0.5000 0.0000 0.5000
Mo3 0.5000 0.5000 0.0000

- density of states at the Fermi level (states/eV/cell) = 5.9
- formation enthalpy at 0 K (eV/atom) = 1.815
- SG = Pm-3m, No. 221
- E above lowest polymorph (eV per atom) = 0.027
- energy (eV/cell) = -39.96

=====

Entry 3:
A relaxed CrIn2Rh crystal. Source: Alexandria via LeMat-Bulk, functional PBE.

Lattice parameters (Å, degrees): 4.6281 4.6281 4.6281 60.00 60.00 60.00
Positions (direct):
Cr1 0.0000 0.0000 0.0000
In1 0.2500 0.2500 0.2500
In2 0.7500 0.7500 0.7500
Rh1 0.5000 0.5000 0.5000

- density of states at the Fermi level (states/eV/cell) = 2.7
- formation enthalpy at 0 K (eV/atom) = -0.049
- SG = Fm-3m, No. 225
- E above lowest polymorph (eV per atom) = 0.000
- energy (eV/cell) = -22.65

=====

Entry 4:
A relaxed LaOs3Rh crystal. Source: Alexandria via LeMat-Bulk, functional PBE.

Lattice parameters (Å, degrees): 4.7585 4.7585 4.7585 90.00 90.00 90.00
Positions (direct):
La1 0.0000 0.0000 0.0000
Os1 0.0000 0.5000 0.5000
Os2 0.5000 0.0000 0.5000
Os3 0.5000 0.5000 0.0000
Rh1 0.5000 0.5000 0.5000

- density of states at the Fermi level (states/eV/cell) = 8.7
- formation enthalpy at 0 K (eV/atom) = 1.435
- SG = Pm-3m, No. 221
- E above lowest polymorph (eV per atom) = 0.000
- energy (eV/cell) = -38.79

=====

Entry 5:
A relaxed Na2YIO4 crystal. Source: Alexandria via LeMat-Bulk, functional PBE.

Lattice parameters (Å, degrees): 5.4564 5.4564 5.4564 111.31 111.31 105.86
Positions (direct):
Na1 0.0000 0.0000 0.0000
Na2 0.7500 0.2500 0.5000
Y1 0.5000 0.5000 0.0000
I1 0.2500 0.7500 0.5000
O1 0.0981 0.4695 0.0239
O2 0.4456 0.0742 0.9761
O3 0.5305 0.5544 0.6285
O4 0.9258 0.9019 0.3715

- formation energy (no corrections) (eV per atom) = -1.657
- density of states at the Fermi level (states/eV/cell) = 0.0
- SG = I-4, No. 82
- energy (eV/cell) = -43.74

=====

Entry 6:
A relaxed GaSnIN2 crystal. Source: Alexandria via LeMat-Bulk, functional PBE.

Lattice parameters (Å, degrees): 4.1587 4.1587 5.6733 90.00 90.00 90.00
Positions (direct):
Ga1 0.0000 0.0000 0.0000
Sn1 0.5000 0.5000 0.5000
I1 0.0000 0.0000 0.5000
N1 0.0000 0.5000 0.0000
N2 0.5000 0.0000 0.0000

- formation energy (no corrections) (eV per atom) = 1.295
- density of states at the Fermi level (states/eV/cell) = 5.0
- SG = P4/mmm, No. 123
- E above lowest polymorph (eV per atom) = 0.118
- energy (eV/cell) = -18.76